Record 1
Here is a relaxed structure of Ti3MnP6O24 from Alexandria. Energies are from PBEsol.

Structure (CIF):
```
data_Ti3MnP6O24
_chemical_formula_sum 'Ti9 Mn3 P18 O72'
_space_group_name_H-M_alt 'R 3'
_space_group_IT_number 146
_space_group_name_Hall 'R 3'
_cell_length_a 8.4021
_cell_length_b 8.4021
_cell_length_c 21.9368
_cell_angle_alpha 90.00
_cell_angle_beta 90.00
_cell_angle_gamma 120.00
loop_
_atom_site_label
_atom_site_fract_x
_atom_site_fract_y
_atom_site_fract_z
Ti1 0.0000 0.0000 0.0000
Ti2 0.0000 0.0000 0.2176
Ti3 0.0000 0.0000 0.4965
Mn1 0.0000 0.0000 0.7122
P1 0.0525 0.6761 0.7736
P2 0.0607 0.3885 0.2760
O1 0.0117 0.1882 0.2684
O2 0.0130 0.8165 0.4485
O3 0.0151 0.1893 0.5502
O4 0.0508 0.8455 0.0538
O5 0.0742 0.8674 0.7597
O6 0.1618 0.6980 0.8318
O7 0.1778 0.4476 0.6226
O8 0.2026 0.4623 0.3290
```

Output
The magnetization comes out at 0.96 μB/f.u. As for the calculated total energy: -8.036 eV/atom. The value obtained for the formation energy from raw total energies is -2288 meV per atom.

***

Record 2
Here is a relaxed structure of Mn3VP4O16 from Alexandria. Energies are from PBEsol.

Structure (CIF):
```
data_Mn3VP4O16
_chemical_formula_sum 'Mn3 V1 P4 O16'
_space_group_name_H-M_alt 'P 1 m 1'
_space_group_IT_number 6
_cell_length_a 4.7932
_cell_length_b 5.8513
_cell_length_c 9.7607
_cell_angle_alpha 90.00
_cell_angle_beta 90.51
_cell_angle_gamma 90.00
loop_
_space_group_symop_operation_xyz
'x,y,z'
'x,-y,z'
loop_
_atom_site_label
_atom_site_fract_x
_atom_site_fract_y
_atom_site_fract_z
Mn1 0.0000 0.0000 0.0000
Mn2 0.1271 0.5000 0.4414
Mn3 0.6266 0.0000 0.5031
V1 0.5145 0.5000 0.9444
P1 0.1555 0.0000 0.3196
P2 0.4773 0.0000 0.8148
P3 0.6618 0.5000 0.6247
P4 0.9520 0.5000 0.1259
O1 0.2082 0.0000 0.1652
O2 0.2631 0.5000 0.0958
O3 0.3057 0.2056 0.3910
O4 0.3377 0.2091 0.8903
O5 0.3454 0.5000 0.6026
O6 0.4030 0.0000 0.6624
O7 0.7197 0.5000 0.7805
O8 0.7933 0.0000 0.8337
O9 0.7931 0.2992 0.0501
O10 0.8096 0.2943 0.5546
O11 0.8394 0.0000 0.3431
O12 0.9006 0.5000 0.2791
```

Output
The magnetization comes out at 14.00 μB/f.u. As for the calculated total energy: -8.114 eV/atom. The value obtained for the formation energy from raw total energies is -2028 meV per atom.

***

Record 3
Here is a relaxed structure of MnV3P4O16 from Alexandria. Energies are from PBEsol.

Structure (CIF):
```
data_MnV3P4O16
_chemical_formula_sum 'Mn1 V3 P4 O16'
_space_group_name_H-M_alt 'P 1 m 1'
_space_group_IT_number 6
_cell_length_a 4.7831
_cell_length_b 5.7407
_cell_length_c 9.8804
_cell_angle_alpha 90.00
_cell_angle_beta 90.84
_cell_angle_gamma 90.00
loop_
_space_group_symop_operation_xyz
'x,y,z'
'x,-y,z'
loop_
_atom_site_label
_atom_site_fract_x
_atom_site_fract_y
_atom_site_fract_z
Mn1 0.0000 0.0000 0.0000
V1 0.0848 0.5000 0.4550
V2 0.5021 0.5000 0.9470
V3 0.5850 0.0000 0.4948
P1 0.1429 0.0000 0.3195
P2 0.4735 0.0000 0.8138
P3 0.6517 0.5000 0.6314
P4 0.9407 0.5000 0.1283
O1 0.2119 0.0000 0.1714
O2 0.2516 0.5000 0.0994
O3 0.2932 0.2076 0.3989
O4 0.3326 0.2122 0.8887
O5 0.3373 0.5000 0.6076
O6 0.3907 0.0000 0.6639
O7 0.7283 0.5000 0.7806
O8 0.7804 0.2960 0.0548
O9 0.7882 0.0000 0.8317
O10 0.7971 0.2927 0.5522
O11 0.8300 0.0000 0.3435
O12 0.8950 0.5000 0.2808
```

Output
The magnetization comes out at 0.67 μB/f.u. As for the calculated total energy: -8.227 eV/atom. The value obtained for the formation energy from raw total energies is -2152 meV per atom.

***

Record 4
Here is a relaxed structure of MnVP4O14 from Alexandria. Energies are from PBEsol.

Structure (CIF):
```
data_MnVP4O14
_chemical_formula_sum 'Mn1 V1 P4 O14'
_space_group_name_H-M_alt 'P 1'
_space_group_IT_number 1
_cell_length_a 4.7568
_cell_length_b 6.8948
_cell_length_c 7.8280
_cell_angle_alpha 90.17
_cell_angle_beta 90.44
_cell_angle_gamma 105.58
loop_
_space_group_symop_operation_xyz
'x,y,z'
loop_
_atom_site_label
_atom_site_fract_x
_atom_site_fract_y
_atom_site_fract_z
Mn1 0.0000 0.0000 0.0000
V1 0.5642 0.5397 0.5001
P1 0.0256 0.3770 0.7424
P2 0.1658 0.7751 0.3133
P3 0.3887 0.7674 0.8207
P4 0.5538 0.1594 0.2324
O1 0.0606 0.7861 0.1296
O2 0.1798 0.9024 0.8171
O3 0.2107 0.5425 0.8734
O4 0.2235 0.3593 0.5920
O5 0.3506 0.6251 0.3235
O6 0.3629 0.1689 0.0752
O7 0.3688 0.9933 0.3619
O8 0.4958 0.7508 0.6392
O9 0.6293 0.3502 0.3402
O10 0.6295 0.8239 0.9542
O11 0.7676 0.4506 0.6808
O12 0.8358 0.1055 0.1885
O13 0.9171 0.7302 0.4402
O14 0.9178 0.1871 0.8462
```

Output
The magnetization comes out at 4.07 μB/f.u. As for the calculated total energy: -7.911 eV/atom. The value obtained for the formation energy from raw total energies is -2108 meV per atom.

***

Record 5
Here is a relaxed structure of Mn2VPO7 from Alexandria. Energies are from PBEsol.

Structure (CIF):
```
data_Mn2VPO7
_chemical_formula_sum 'Mn4 V2 P2 O14'
_space_group_name_H-M_alt 'C 1 m 1'
_space_group_IT_number 8
_cell_length_a 6.3531
_cell_length_b 8.5169
_cell_length_c 4.8197
_cell_angle_alpha 90.00
_cell_angle_beta 102.52
_cell_angle_gamma 90.00
loop_
_space_group_symop_operation_xyz
'x,y,z'
'x,-y,z'
'x+1/2,y+1/2,z'
'x+1/2,-y+1/2,z'
loop_
_atom_site_label
_atom_site_fract_x
_atom_site_fract_y
_atom_site_fract_z
Mn1 0.0000 0.1908 0.0000
V1 0.2523 0.0000 0.5949
P1 0.2282 0.5000 0.4034
O1 0.0288 0.5000 0.5346
O2 0.1206 0.0000 0.2376
O3 0.2324 0.3508 0.2217
O4 0.2662 0.1708 0.7951
O5 0.4234 0.5000 0.6665
```

Output
The magnetization comes out at 10.00 μB/f.u. As for the calculated total energy: -8.527 eV/atom. The value obtained for the formation energy from raw total energies is -2009 meV per atom.

***

Record 6
Here is a relaxed structure of MnV3P6O24 from Alexandria. Energies are from PBEsol.

Structure (CIF):
```
data_MnV3P6O24
_chemical_formula_sum 'Mn3 V9 P18 O72'
_space_group_name_H-M_alt 'R 3'
_space_group_IT_number 146
_space_group_name_Hall 'R 3'
_cell_length_a 8.2831
_cell_length_b 8.2831
_cell_length_c 21.4921
_cell_angle_alpha 90.00
_cell_angle_beta 90.00
_cell_angle_gamma 120.00
loop_
_atom_site_label
_atom_site_fract_x
_atom_site_fract_y
_atom_site_fract_z
Mn1 0.0000 0.0000 0.0000
V1 0.0000 0.0000 0.2881
V2 0.0000 0.0000 0.5049
V3 0.0000 0.0000 0.7831
P1 0.0526 0.6704 0.0607
P2 0.0573 0.3867 0.5627
O1 0.0043 0.8206 0.7348
O2 0.0128 0.1888 0.8354
O3 0.0606 0.8543 0.3395
O4 0.0726 0.8621 0.0512
O5 0.1531 0.4852 0.2214
O6 0.1544 0.6769 0.1211
O7 0.1854 0.4536 0.9079
O8 0.1952 0.4553 0.6173
```

Output
The magnetization comes out at 4.10 μB/f.u. As for the calculated total energy: -8.026 eV/atom. The value obtained for the formation energy from raw total energies is -2161 meV per atom.